## ReSb (PBE)

Data for an optimized crystal structure of ReSb.

Calculated values
Calculated volume: 193.2 Å³/cell
E_tot: -60.08 eV per cell
Excess energy over the best structure of this formula in the dataset: 555 meV per atom
Energy relative to the elements, uncorrected: 776 meV per atom
M_tot: 0.0 Bohr magnetons per cell

Cell and atoms, written as POSCAR:
```
ReSb
1.0
0.0000 4.2405 5.4130
4.2090 0.0000 5.4130
4.2090 4.2405 0.0000
Re Sb
4 4
direct
0.0169 0.0169 0.2331 Re
0.2331 0.2331 0.0169 Re
0.7669 0.7669 0.9831 Re
0.9831 0.9831 0.7669 Re
0.1759 0.5741 0.5741 Sb
0.4259 0.8241 0.8241 Sb
0.5741 0.1759 0.1759 Sb
0.8241 0.4259 0.4259 Sb
```

## ReSb (PBE)

Data for an optimized crystal structure of ReSb.

Calculated values
Calculated volume: 110.8 Å³/cell
E_tot: -45.97 eV per cell
Excess energy over the best structure of this formula in the dataset: 404 meV per atom
Energy relative to the elements, uncorrected: 624 meV per atom
M_tot: 0.0 Bohr magnetons per cell

Cell and atoms, written as POSCAR:
```
ReSb
1.0
4.7723 -1.5817 0.0000
4.7723 1.5817 0.0000
-2.1826 0.0000 7.3393
Re Sb
3 3
direct
0.0000 0.0000 0.0000 Re
0.0674 0.0674 0.5913 Re
0.4145 0.4145 0.2540 Re
0.3739 0.3739 0.6898 Sb
0.6982 0.6982 0.3401 Sb
0.7098 0.7098 0.9273 Sb
```

## ReSb2 (PBE)

Data for an optimized crystal structure of ReSb2.

Calculated values
Calculated volume: 68.2 Å³/cell
E_tot: -19.82 eV per cell
Energy relative to the elements, uncorrected: 290 meV per atom
M_tot: 0.0 Bohr magnetons per cell

Cell and atoms, written as POSCAR:
```
ReSb2
1.0
6.6617 -1.6221 0.0000
6.6617 1.6221 0.0000
-0.7533 0.0000 3.1557
Re Sb
1 2
direct
0.0000 0.0000 0.0000 Re
0.3716 0.3716 0.3773 Sb
0.6284 0.6284 0.6227 Sb
```

## Re5Sb4 (PBE)

Data for an optimized crystal structure of Re5Sb4.

Calculated values
Calculated volume: 326.9 Å³/cell
E_tot: -140.23 eV per cell
Excess energy over the best structure of this formula in the dataset: 317 meV per atom
Energy relative to the elements, uncorrected: 957 meV per atom
M_tot: 0.0 Bohr magnetons per cell

Cell and atoms, written as POSCAR:
```
Re5Sb4
1.0
8.2736 0.0000 0.0000
-4.1368 7.1651 0.0000
0.0000 0.0000 5.5147
Re Sb
10 8
direct
0.0000 0.3395 0.2500 Re
0.0000 0.6605 0.7500 Re
0.3333 0.6667 0.0000 Re
0.3333 0.6667 0.5000 Re
0.3395 0.0000 0.2500 Re
0.3395 0.3395 0.7500 Re
0.6605 0.0000 0.7500 Re
0.6605 0.6605 0.2500 Re
0.6667 0.3333 0.0000 Re
0.6667 0.3333 0.5000 Re
0.0000 0.0000 0.0000 Sb
0.0000 0.0000 0.5000 Sb
0.0000 0.3458 0.7500 Sb
0.0000 0.6542 0.2500 Sb
0.3458 0.0000 0.7500 Sb
0.3458 0.3458 0.2500 Sb
0.6542 0.0000 0.2500 Sb
0.6542 0.6542 0.7500 Sb
```

## ReSb2 (PBE)

Data for an optimized crystal structure of ReSb2.

Calculated values
Calculated volume: 125.7 Å³/cell
E_tot: -36.02 eV per cell
Energy relative to the elements, uncorrected: 894 meV per atom
M_tot: 0.0 Bohr magnetons per cell

Cell and atoms, written as POSCAR:
```
ReSb2
1.0
4.8295 0.0000 0.0000
-2.4147 4.1825 0.0000
0.0000 0.0000 6.2224
Re Sb
2 4
direct
0.3333 0.6667 0.2500 Re
0.6667 0.3333 0.7500 Re
0.0000 0.0000 0.0000 Sb
0.0000 0.0000 0.5000 Sb
0.3333 0.6667 0.7500 Sb
0.6667 0.3333 0.2500 Sb
```

## ReSb2 (PBE)

Data for an optimized crystal structure of ReSb2.

Calculated values
Calculated volume: 68.4 Å³/cell
E_tot: -19.59 eV per cell
Energy relative to the elements, uncorrected: 367 meV per atom
M_tot: 0.0 Bohr magnetons per cell

Cell and atoms, written as POSCAR:
```
ReSb2
1.0
3.4212 0.0000 0.0000
-1.7106 2.9629 0.0000
0.0000 0.0000 6.7462
Re Sb
1 2
direct
0.0000 0.0000 0.0000 Re
0.3333 0.6667 0.2805 Sb
0.6667 0.3333 0.7195 Sb
```

## ReSb2 (PBE)

Data for an optimized crystal structure of ReSb2.

Calculated values
Calculated volume: 182.7 Å³/cell
E_tot: -58.32 eV per cell
Energy relative to the elements, uncorrected: 418 meV per atom
M_tot: 0.0 Bohr magnetons per cell

Cell and atoms, written as POSCAR:
```
ReSb2
1.0
7.8199 0.0000 0.0000
-3.9100 6.7722 0.0000
0.0000 0.0000 3.4508
Re Sb
3 6
direct
0.0000 0.0000 0.0000 Re
0.3333 0.6667 0.5000 Re
0.6667 0.3333 0.5000 Re
0.0000 0.2785 0.5000 Sb
0.0000 0.6094 0.0000 Sb
0.2785 0.0000 0.5000 Sb
0.3906 0.3906 0.0000 Sb
0.6094 0.0000 0.0000 Sb
0.7215 0.7215 0.5000 Sb
```

## ReSb2 (PBE)

Data for an optimized crystal structure of ReSb2.

Calculated values
Calculated volume: 284.6 Å³/cell
E_tot: -76.01 eV per cell
Energy relative to the elements, uncorrected: 563 meV per atom
M_tot: 0.0 Bohr magnetons per cell

Cell and atoms, written as POSCAR:
```
ReSb2
1.0
6.5774 0.0000 0.0000
0.0000 6.5774 0.0000
0.0000 0.0000 6.5774
Re Sb
4 8
direct
0.0000 0.0000 0.0000 Re
0.0000 0.5000 0.5000 Re
0.5000 0.0000 0.5000 Re
0.5000 0.5000 0.0000 Re
0.1410 0.6410 0.8590 Sb
0.1410 0.8590 0.3590 Sb
0.3590 0.1410 0.8590 Sb
0.3590 0.3590 0.3590 Sb
0.6410 0.6410 0.6410 Sb
0.6410 0.8590 0.1410 Sb
0.8590 0.1410 0.6410 Sb
0.8590 0.3590 0.1410 Sb
```

Q: Look up the calculated volume of the eighth one.
A: 284.6 Å³/cell

Q: Which formula does entry 1 have?
A: ReSb